No. 1
MoRu2Pt | the Alexandria database | PBE | optimized geometry; symmetry = I-4m2; excess energy over the best structure of this formula in the dataset = 0.99 kcal/mol of atoms; ΔH_f (0 K) = -109 meV/atom; V = 14.69 Å³/atom
1.0
4.7781 0.0017 -0.0063
1.6361 4.4893 0.0063
-3.2035 -2.2507 2.7391
Ru Mo Pt
2 1 1
direct
0.0000 0.0000 0.0000
0.7500 0.2500 0.5000
0.5000 0.5000 0.0000
0.2500 0.7500 0.5000

No. 2
Mo2Ru2Pt | the Alexandria database | PBE | optimized geometry; symmetry = P4/mbm; excess energy over the best structure of this formula in the dataset = 0.00 kcal/mol of atoms; ΔH_f (0 K) = 36 meV/atom; V = 15.50 Å³/atom
1.0
-3.6645 6.1888 -1.3846
-3.1978 -3.1842 -5.7690
-2.1598 -0.8999 1.6939
Ru Mo Pt
4 4 2
direct
0.3686 0.8686 0.0000
0.8686 0.6314 0.0000
0.6314 0.1314 0.0000
0.1314 0.3686 0.0000
0.1680 0.6680 0.5000
0.6680 0.8320 0.5000
0.8320 0.3320 0.5000
0.3320 0.1680 0.5000
0.0000 0.0000 0.0000
0.5000 0.5000 0.0000

Look up the V of the first one.
14.69 Å³/atom

V of number 2 (Mo2Ru2Pt)?
15.50 Å³/atom

Copy entry 2 word for word.
Mo2Ru2Pt | the Alexandria database | PBE | optimized geometry; symmetry = P4/mbm; excess energy over the best structure of this formula in the dataset = 0.00 kcal/mol of atoms; ΔH_f (0 K) = 36 meV/atom; V = 15.50 Å³/atom
1.0
-3.6645 6.1888 -1.3846
-3.1978 -3.1842 -5.7690
-2.1598 -0.8999 1.6939
Ru Mo Pt
4 4 2
direct
0.3686 0.8686 0.0000
0.8686 0.6314 0.0000
0.6314 0.1314 0.0000
0.1314 0.3686 0.0000
0.1680 0.6680 0.5000
0.6680 0.8320 0.5000
0.8320 0.3320 0.5000
0.3320 0.1680 0.5000
0.0000 0.0000 0.0000
0.5000 0.5000 0.0000

Which of these has the highest ΔH_f (0 K)?
Mo2Ru2Pt